Entry 1:
Compound: BaZr2Be
Source: Alexandria via LeMat-Bulk
Functional: GGA-PBE
Structure: relaxed

Calculated values
Magnetic moment (μB per formula unit): 0.001
Energy of formation from the pure elements (meV per atom): 472

a = 3.4511 Å, b = 3.4511 Å, c = 29.0690 Å
α = 90.00°, β = 90.00°, γ = 120.00°
Space group R-3m (No. 166, hexagonal axes)
One atom of each set of equivalent atoms:
Ba 0.0000 0.0000 0.0000 [3 per cell]
Zr 0.0000 0.0000 0.2232 [6 per cell]
Be 0.0000 0.0000 0.5000 [3 per cell]


Entry 2:
Compound: BaZrBe2
Source: Alexandria via LeMat-Bulk
Functional: GGA-PBE
Structure: relaxed

Calculated values
Magnetic moment (μB per formula unit): 0.000
Energy of formation from the pure elements (meV per atom): 949
Energy above the lowest structure with this stoichiometry (meV per atom): 696

a = 7.623 Å, b = 7.623 Å, c = 7.042 Å
α = 90.00°, β = 90.00°, γ = 90.00°
Space group I-42d (No. 122)
One atom of each set of equivalent atoms:
Ba 0.000 0.000 0.000 [4 per cell]
Zr 0.000 0.000 0.500 [4 per cell]
Be 0.187 0.250 0.625 [8 per cell]


Entry 3:
Compound: BaZr2Be
Source: Alexandria via LeMat-Bulk
Functional: GGA-PBE
Structure: relaxed

Calculated values
Magnetic moment (μB per formula unit): 0.000
Energy of formation from the pure elements (meV per atom): 906

a = 5.199 Å, b = 5.199 Å, c = 3.382 Å
α = 90.00°, β = 90.00°, γ = 90.00°
Space group P4/mmm (No. 123)
One atom of each set of equivalent atoms:
Ba 0.000 0.000 0.000 [1 per cell]
Zr 0.000 0.500 0.500 [2 per cell]
Be 0.500 0.500 0.000 [1 per cell]


Entry 4:
Compound: BaZr2Be
Source: Alexandria via LeMat-Bulk
Functional: GGA-PBE
Structure: relaxed

Calculated values
Magnetic moment (μB per formula unit): 0.000
Energy of formation from the pure elements (meV per atom): 805

a = 4.480 Å, b = 4.480 Å, c = 9.515 Å
α = 90.00°, β = 90.00°, γ = 90.00°
Space group I4/mmm (No. 139)
One atom of each set of equivalent atoms:
Ba 0.000 0.000 0.000 [2 per cell]
Zr 0.000 0.500 0.250 [4 per cell]
Be 0.000 0.000 0.500 [2 per cell]


Entry 5:
Compound: BaZr2Be
Source: Alexandria via LeMat-Bulk
Functional: GGA-PBE
Structure: relaxed

Calculated values
Magnetic moment (μB per formula unit): 0.000
Energy of formation from the pure elements (meV per atom): 924

a = 6.248 Å, b = 9.653 Å, c = 3.189 Å
α = 90.00°, β = 90.00°, γ = 90.00°
Space group Cmmm (No. 65)
One atom of each set of equivalent atoms:
Ba 0.000 0.000 0.000 [2 per cell]
Zr 0.250 0.250 0.500 [4 per cell]
Be 0.000 0.500 0.000 [2 per cell]


Entry 6:
Compound: BaZr4Be
Source: Alexandria via LeMat-Bulk
Functional: GGA-PBE
Structure: relaxed

Calculated values
Magnetic moment (μB per formula unit): 0.000
Energy of formation from the pure elements (meV per atom): 795

a = 8.515 Å, b = 8.515 Å, c = 8.515 Å
α = 90.00°, β = 90.00°, γ = 90.00°
Space group F-43m (No. 216)
One atom of each set of equivalent atoms:
Ba 0.000 0.000 0.000 [4 per cell]
Zr 0.124 0.124 0.376 [16 per cell]
Be 0.250 0.250 0.750 [4 per cell]


Which value of magnetic moment does entry 4 give?
0.000 μB per formula unit